1.
Material: ZrHgSb2Te
Method: DFT, PBE
State: optimized geometry

Lattice parameters (Å, degrees): 5.6150 5.6150 5.5601 90.00 90.00 90.00
Closest atoms and distances in Å follow each position.
Atoms (fractional coordinates):
Sb  0.0000  0.5000  0.0000  2 Zr 2.81
Sb  0.5000  0.0000  0.0000  2 Zr 2.81
Te  0.0000  0.0000  0.5000  2 Zr 2.78
Hg  0.5000  0.5000  0.5000  8 Sb 3.95, 4 Te 3.97
Zr  0.0000  0.0000  0.0000  2 Te 2.78, 4 Sb 2.81

The crystal system is tetragonal. The calculation puts the formation energy from raw total energies at 0.09 eV/atom. The total moment comes out at 0.00 μB per atom. Its raw total energy is -0.146 Ha/atom. As for the space-group type: P4/mmm.

=====

2.
Material: ThHgSb
Method: DFT, PBE
State: optimized geometry

Lattice parameters (Å, degrees): 4.0370 4.0370 5.8438 110.21 110.21 90.00
Closest atoms and distances in Å follow each position.
Atoms (fractional coordinates):
Sb  0.9510  0.9510  0.9021  5 Hg 3.30-3.45, 5 Th 3.31-3.42
Hg  0.6130  0.6130  0.2259  5 Sb 3.30-3.45, 5 Th 3.33-3.36
Th  0.2860  0.2860  0.5720  5 Sb 3.31-3.42, 5 Hg 3.33-3.36

The crystal system is tetragonal. The calculation puts the formation energy from raw total energies at -0.39 eV/atom. The total moment comes out at 0.00 μB per atom. Its raw total energy is -0.159 Ha/atom. As for the space-group type: I4mm.

=====

3.
Material: Th2HgSb
Method: DFT, PBE
State: optimized geometry

Lattice parameters (Å, degrees): 4.0236 4.0236 7.0399 90.00 90.00 90.00
Closest atoms and distances in Å follow each position.
Atoms (fractional coordinates):
Sb  0.5000  0.5000  0.0000  8 Th 3.34, 2 Hg 3.52
Hg  0.5000  0.5000  0.5000  8 Th 3.35, 2 Sb 3.52
Th  0.0000  0.0000  0.7516  4 Sb 3.34, 4 Hg 3.35, 2 Th 3.50-3.54
Th  0.0000  0.0000  0.2484  4 Sb 3.34, 4 Hg 3.35, 2 Th 3.50-3.54

The crystal system is tetragonal. The calculation puts the formation energy from raw total energies at -0.50 eV/atom. The total moment comes out at 0.00 μB per atom. Its raw total energy is -0.195 Ha/atom. As for the space-group type: P4/mmm.

=====

4.
Material: ThHgSb2
Method: DFT, PBE
State: optimized geometry

Lattice parameters (Å, degrees): 5.1888 5.1888 5.6768 62.81 62.81 60.00
Closest atoms and distances in Å follow each position.
Atoms (fractional coordinates):
Sb  0.7333  0.7333  0.8002  3 Hg 3.15, 4 Th 3.33-3.37
Sb  0.2667  0.2667  0.1998  3 Hg 3.15, 4 Th 3.33-3.37
Hg  0.0000  0.0000  0.0000  6 Sb 3.15
Th  0.5000  0.5000  0.5000  8 Sb 3.33-3.37

The crystal system is trigonal. The calculation puts the formation energy from raw total energies at -0.24 eV/atom. The total moment comes out at 0.00 μB per atom. Its raw total energy is -0.155 Ha/atom. As for the space-group type: R-3m.

=====

5.
Material: Th2HgSb
Method: DFT, PBE
State: optimized geometry

Lattice parameters (Å, degrees): 4.1568 4.1568 8.8267 76.38 76.38 60.00
Closest atoms and distances in Å follow each position.
Atoms (fractional coordinates):
Th  0.0798  0.0798  0.7606  3 Sb 3.14, 3 Hg 3.25
Th  0.2539  0.2539  0.2384  3 Sb 3.15, 3 Hg 3.29
Hg  0.4991  0.4991  0.5028  6 Th 3.25-3.29
Sb  0.6673  0.6673  0.9982  6 Th 3.14-3.15

The crystal system is trigonal. The calculation puts the formation energy from raw total energies at -0.38 eV/atom. The total moment comes out at 0.00 μB per atom. Its raw total energy is -0.191 Ha/atom. As for the space-group type: R3m.

=====

6.
Material: Th2HgSb
Method: DFT, PBE
State: optimized geometry

Lattice parameters (Å, degrees): 5.4462 5.4462 5.4462 60.00 60.00 60.00
Closest atoms and distances in Å follow each position.
Atoms (fractional coordinates):
Sb  0.5000  0.5000  0.5000  8 Th 3.34
Hg  0.0000  0.0000  0.0000  8 Th 3.34
Th  0.2500  0.2500  0.2500  4 Hg 3.34, 4 Sb 3.34
Th  0.7500  0.7500  0.7500  4 Hg 3.34, 4 Sb 3.34

The crystal system is cubic. The calculation puts the formation energy from raw total energies at -0.42 eV/atom. The total moment comes out at 0.00 μB per atom. Its raw total energy is -0.192 Ha/atom. As for the space-group type: Fm-3m.

=====

7.
Material: ThHgSb2
Method: DFT, PBE
State: optimized geometry

Lattice parameters (Å, degrees): 4.2489 5.0180 5.0180 90.00 90.00 90.00
Closest atoms and distances in Å follow each position.
Atoms (fractional coordinates):
Sb  0.0000  0.0000  0.5000  4 Th 3.29, 4 Hg 3.29, 4 Sb 3.55
Sb  0.0000  0.5000  0.0000  4 Th 3.29, 4 Hg 3.29, 4 Sb 3.55
Hg  0.5000  0.0000  0.0000  8 Sb 3.29, 4 Th 3.55
Th  0.5000  0.5000  0.5000  8 Sb 3.29, 4 Hg 3.55

The crystal system is tetragonal. The calculation puts the formation energy from raw total energies at -0.50 eV/atom. The total moment comes out at 0.00 μB per atom. Its raw total energy is -0.165 Ha/atom. As for the space-group type: P4/mmm.

=====

8.
Material: Th8HgSb5
Method: DFT, PBE
State: optimized geometry

Lattice parameters (Å, degrees): 8.2250 8.2250 8.2250 109.60 109.21 109.60
Closest atoms and distances in Å follow each position.
Atoms (fractional coordinates):
Th  0.1288  0.7536  0.0189  5 Sb 3.16-3.44, 1 Hg 3.16
Th  0.9811  0.1100  0.7347  5 Sb 3.16-3.44, 1 Hg 3.16
Th  0.7693  0.2484  0.3745  5 Sb 3.16-3.39, 1 Hg 3.41
Th  0.6255  0.3948  0.8740  5 Sb 3.16-3.39, 1 Hg 3.41
Th  0.4792  0.6052  0.2307  5 Sb 3.16-3.39, 1 Hg 3.41
Th  0.6247  0.8900  0.8712  5 Sb 3.16-3.44, 1 Hg 3.16
Th  0.2653  0.2464  0.3753  5 Sb 3.16-3.44, 1 Hg 3.16
Th  0.1260  0.7516  0.5208  5 Sb 3.16-3.39, 1 Hg 3.41
Hg  0.2500  0.5000  0.7500  8 Th 3.16-3.41
Sb  0.0006  0.3783  0.1276  8 Th 3.16-3.44
Sb  0.8724  0.8729  0.2507  8 Th 3.16-3.44
Sb  0.7493  0.6217  0.6222  8 Th 3.16-3.44
Sb  0.5000  0.0000  0.5000  8 Th 3.17-3.41
Sb  0.3778  0.1271  0.9994  8 Th 3.16-3.44

The crystal system is tetragonal. The calculation puts the formation energy from raw total energies at -0.65 eV/atom. The total moment comes out at 0.00 μB per atom. Its raw total energy is -0.235 Ha/atom. As for the space-group type: I-4.

=====

9.
Material: ThHg2Sb
Method: DFT, PBE
State: optimized geometry

Lattice parameters (Å, degrees): 5.1443 4.5481 4.5481 90.00 90.00 90.00
Closest atoms and distances in Å follow each position.
Atoms (fractional coordinates):
Sb  0.5000  0.0000  0.0000  4 Th 3.22, 8 Hg 3.43
Hg  0.0000  0.0000  0.5000  4 Hg 3.22, 4 Th 3.43, 4 Sb 3.43
Hg  0.0000  0.5000  0.0000  4 Hg 3.22, 4 Th 3.43, 4 Sb 3.43
Th  0.5000  0.5000  0.5000  4 Sb 3.22, 8 Hg 3.43

The crystal system is tetragonal. The calculation puts the formation energy from raw total energies at -0.42 eV/atom. The total moment comes out at 0.00 μB per atom. Its raw total energy is -0.127 Ha/atom. As for the space-group type: P4/mmm.

=====

10.
Material: Th7Hg2Sb2
Method: DFT, PBE
State: optimized geometry

Lattice parameters (Å, degrees): 6.9096 7.9920 6.9096 90.00 108.75 90.00
Closest atoms and distances in Å follow each position.
Atoms (fractional coordinates):
Th  0.9998  0.2927  0.5003  2 Sb 3.11, 3 Th 3.31-3.46, 2 Hg 3.32
Th  0.5003  0.7073  0.9998  2 Sb 3.11, 3 Th 3.31-3.46, 2 Hg 3.32
Th  0.0002  0.7073  0.4997  2 Sb 3.11, 3 Th 3.31-3.46, 2 Hg 3.32
Th  0.4997  0.2927  0.0002  2 Sb 3.11, 3 Th 3.31-3.46, 2 Hg 3.32
Th  0.0000  0.0000  0.0000  2 Sb 3.18
Th  0.5002  0.7352  0.4998  2 Sb 3.22-3.23, 2 Hg 3.23, 4 Th 3.46
Th  0.4998  0.2648  0.5002  2 Sb 3.22-3.23, 2 Hg 3.23, 4 Th 3.46
Hg  0.8270  0.5000  0.8270  1 Hg 2.78
Hg  0.1730  0.5000  0.1730  1 Hg 2.78
Sb  0.7166  0.0000  0.2834  7 Th 3.11-3.23
Sb  0.2834  0.0000  0.7166  7 Th 3.11-3.23

The crystal system is orthorhombic. The calculation puts the formation energy from raw total energies at 0.00 eV/atom. The total moment comes out at 0.00 μB per atom. Its raw total energy is -0.203 Ha/atom. As for the space-group type: Cmmm.

=====

11.
Material: ThHgSb
Method: DFT, PBE
State: optimized geometry

Lattice parameters (Å, degrees): 4.4851 4.4851 8.7070 90.00 90.00 90.00
Closest atoms and distances in Å follow each position.
Atoms (fractional coordinates):
Hg  0.0000  0.0000  0.0000  4 Hg 3.17, 4 Th 3.48
Hg  0.5000  0.5000  0.0000  4 Hg 3.17, 4 Th 3.48
Sb  0.0000  0.5000  0.3294  5 Th 3.17-3.18
Sb  0.5000  0.0000  0.6706  5 Th 3.17-3.18
Th  0.0000  0.5000  0.6940  5 Sb 3.17-3.18, 4 Hg 3.48
Th  0.5000  0.0000  0.3060  5 Sb 3.17-3.18, 4 Hg 3.48

The crystal system is tetragonal. The calculation puts the formation energy from raw total energies at -0.54 eV/atom. The total moment comes out at 0.00 μB per atom. Its raw total energy is -0.165 Ha/atom. As for the space-group type: P4/nmm.

=====

12.
Material: Th6HgSb4
Method: DFT, PBE
State: optimized geometry

Lattice parameters (Å, degrees): 8.8543 8.8543 8.8543 90.24 90.24 89.76
Closest atoms and distances in Å follow each position.
Atoms (fractional coordinates):
Th  0.6750  0.0573  0.0757  1 Hg 3.00, 2 Sb 3.20-3.30
Th  0.0757  0.3250  0.0573  1 Hg 3.00, 2 Sb 3.20-3.30
Th  0.5757  0.4427  0.1750  1 Hg 3.00, 2 Sb 3.20-3.30
Th  0.9427  0.0757  0.6750  1 Hg 3.00, 2 Sb 3.20-3.30
Th  0.5573  0.1750  0.5757  1 Hg 3.00, 2 Sb 3.20-3.30
Th  0.1750  0.4243  0.4427  1 Hg 3.00, 2 Sb 3.20-3.30
Th  0.8250  0.5757  0.5573  1 Hg 3.00, 2 Sb 3.20-3.30
Th  0.4427  0.8250  0.4243  1 Hg 3.00, 2 Sb 3.20-3.30
Th  0.0573  0.9243  0.3250  1 Hg 3.00, 2 Sb 3.20-3.30
Th  0.4243  0.5573  0.8250  1 Hg 3.00, 2 Sb 3.20-3.30
Th  0.9243  0.6750  0.9427  1 Hg 3.00, 2 Sb 3.20-3.30
Th  0.3250  0.9427  0.9243  1 Hg 3.00, 2 Sb 3.20-3.30
Hg  0.5000  0.5000  0.5000  6 Th 3.00
Hg  0.0000  0.0000  0.0000  6 Th 3.00
Sb  0.3569  0.1431  0.2500  8 Th 3.30-3.41
Sb  0.8569  0.2500  0.3569  8 Th 3.30-3.41
Sb  0.2500  0.6431  0.1431  8 Th 3.30-3.41
Sb  0.2500  0.2500  0.7500  6 Th 3.20
Sb  0.7500  0.7500  0.2500  6 Th 3.20
Sb  0.7500  0.3569  0.8569  8 Th 3.30-3.41
Sb  0.1431  0.7500  0.6431  8 Th 3.30-3.41
Sb  0.6431  0.8569  0.7500  8 Th 3.30-3.41

The crystal system is trigonal. The calculation puts the formation energy from raw total energies at -0.48 eV/atom. The total moment comes out at 0.00 μB per atom. Its raw total energy is -0.222 Ha/atom. As for the space-group type: R-3c.

=====

- What is the formation energy from raw total energies in the eighth record?
  -0.65 eV/atom

=====

Please write out number 1 again, unchanged.
Material: ZrHgSb2Te
Method: DFT, PBE
State: optimized geometry

Lattice parameters (Å, degrees): 5.6150 5.6150 5.5601 90.00 90.00 90.00
Closest atoms and distances in Å follow each position.
Atoms (fractional coordinates):
Sb  0.0000  0.5000  0.0000  2 Zr 2.81
Sb  0.5000  0.0000  0.0000  2 Zr 2.81
Te  0.0000  0.0000  0.5000  2 Zr 2.78
Hg  0.5000  0.5000  0.5000  8 Sb 3.95, 4 Te 3.97
Zr  0.0000  0.0000  0.0000  2 Te 2.78, 4 Sb 2.81

The crystal system is tetragonal. The calculation puts the formation energy from raw total energies at 0.09 eV/atom. The total moment comes out at 0.00 μB per atom. Its raw total energy is -0.146 Ha/atom. As for the space-group type: P4/mmm.